! Be2Hg (PBE-GGA, relaxed); values from VASP
! **Magnetic moment**: 0.0 μB per cell
! **Calculated total energy**: -0.1648 Ry/atom
! **Formation energy from the elements**: 0.3425 eV per atom
&SYSTEM
  ibrav = 0, nat = 6, ntyp = 2
/
ATOMIC_SPECIES
Be 9.01 Be.upf
Hg 200.59 Hg.upf
ATOMIC_POSITIONS crystal
Be 0.118 0.367 0.250
Be 0.367 0.118 0.750
Be 0.633 0.882 0.250
Be 0.882 0.633 0.750
Hg 0.251 0.749 0.250
Hg 0.749 0.251 0.750
CELL_PARAMETERS angstrom
4.962 -2.243 0.000
4.962 2.243 0.000
0.000 0.000 3.842



! ScSiOs2 (PBE-GGA, relaxed); values from VASP
! **Formation energy from raw total energies**: -1.13 eV per formula unit
! **Magnetic moment**: 0.0 μB per cell
! **Calculated total energy**: -0.6494 Ry/atom
&SYSTEM
  ibrav = 0, nat = 4, ntyp = 3
/
ATOMIC_SPECIES
Sc 44.96 Sc.upf
Si 28.09 Si.upf
Os 190.23 Os.upf
ATOMIC_POSITIONS crystal
Sc 0.000 0.000 0.000
Si 0.500 0.500 0.500
Os 0.226 0.226 0.707
Os 0.774 0.774 0.293
CELL_PARAMETERS angstrom
4.449 -1.503 0.000
4.449 1.503 0.000
-1.679 0.000 4.588



! Tb2UFe2 (PBE-GGA, relaxed); values from VASP
! **Magnetic moment**: 0.0 μB per cell
! **Calculated total energy**: -0.5617 Ry/atom
! **Formation energy from the elements**: -0.1481 eV per atom
&SYSTEM
  ibrav = 0, nat = 10, ntyp = 3
/
ATOMIC_SPECIES
Tb 158.93 Tb.upf
U 238.03 U.upf
Fe 55.84 Fe.upf
ATOMIC_POSITIONS crystal
Tb 0.055 0.260 0.134
Tb 0.260 0.055 0.634
Tb 0.740 0.945 0.366
Tb 0.945 0.740 0.866
U 0.485 0.515 0.250
U 0.515 0.485 0.750
Fe 0.215 0.492 0.508
Fe 0.492 0.215 0.008
Fe 0.508 0.785 0.992
Fe 0.785 0.508 0.492
CELL_PARAMETERS angstrom
5.294 -3.025 0.000
5.294 3.025 0.000
-2.171 0.000 6.733



! CdC8 (PBE-GGA, relaxed); values from VASP
! **Magnetic moment**: 0.2 μB per cell
! **Calculated total energy**: -0.5073 Ry/atom
! **Formation energy from the elements**: 1.3980 eV per atom
&SYSTEM
  ibrav = 0, nat = 9, ntyp = 2
/
ATOMIC_SPECIES
Cd 112.41 Cd.upf
C 12.01 C.upf
ATOMIC_POSITIONS crystal
Cd 0.000 0.000 0.000
C 0.168 0.713 0.588
C 0.250 0.250 0.500
C 0.250 0.750 0.000
C 0.287 0.832 0.412
C 0.713 0.168 0.588
C 0.750 0.250 0.000
C 0.750 0.750 0.500
C 0.832 0.287 0.412
CELL_PARAMETERS angstrom
1.287 -8.438 0.000
1.287 8.438 0.000
-0.522 0.000 8.313